No. 1
Below is crystalline AcPrZnSb at its relaxed geometry, with properties calculated at the PBE-GGA level.

Calculated values
Uncorrected formation energy = -0.542 eV per atom
ρ = 7.7 Mg/m³
Total moment = 0.0 μB per formula unit
SG = No. 216

Cell and atoms, written as POSCAR:
```
AcPrZnSb
1.0
5.5401 0.0000 0.0000
2.7700 4.7978 0.0000
2.7700 1.5993 4.5234
Pr Sb Ac Zn
1 1 1 1
direct
0.2500 0.2500 0.2500
0.0000 0.0000 0.0000
0.7500 0.7500 0.7500
0.5000 0.5000 0.5000
```


No. 2
Below is crystalline Rb2ReTe at its relaxed geometry, with properties calculated at the PBE-GGA level.

Calculated values
Uncorrected formation energy = 1.221 eV per atom
ρ = 6.4 Mg/m³
Total moment = 2.9 μB per formula unit
SG = No. 122

Cell and atoms, written as POSCAR:
```
Rb2ReTe
1.0
-1.0250 -0.2525 4.3644
4.1325 -1.5184 0.8827
5.4944 10.7693 4.2232
Re Te Rb
2 2 4
direct
0.0000 0.0000 0.0000
0.7500 0.2500 0.5000
0.5000 0.5000 0.0000
0.2500 0.7500 0.5000
0.6252 0.1250 0.2500
0.1248 0.6250 0.2500
0.3750 0.3748 0.7500
0.8750 0.8752 0.7500
```


No. 3
Below is crystalline MgIr2Au at its relaxed geometry, with properties calculated at the PBE-GGA level.

Calculated values
Formation energy = 11.7 kJ/mol of atoms
ρ = 15.8 Mg/m³
Total moment = 0.0 μB per formula unit
SG = No. 65

Cell and atoms, written as POSCAR:
```
MgIr2Au
1.0
-1.3677 2.4046 0.1545
-1.3772 -2.1522 -1.0716
-3.0407 -2.2740 8.4744
Au Ir Mg
1 2 1
direct
0.5000 0.5000 0.7500
0.0000 0.0000 0.0132
0.0000 0.0000 0.4868
0.5000 0.5000 0.2500
```


No. 4
Below is crystalline AlFeAgBr2 at its relaxed geometry, with properties calculated at the PBE-GGA level.

Calculated values
Uncorrected formation energy = 0.685 eV per atom
ρ = 3.9 Mg/m³
Total moment = 3.9 μB per formula unit
Distance to the lowest polymorph of the same formula = 0.089 eV per atom
SG = No. 123

Cell and atoms, written as POSCAR:
```
AlFeAgBr2
1.0
-2.6663 -1.7473 -4.3727
2.3339 -4.8548 0.5169
-3.8687 -1.5431 2.9755
Al Br Ag Fe
1 2 1 1
direct
0.5000 0.5000 0.5000
0.0000 0.5000 0.0000
0.5000 0.0000 0.0000
0.0000 0.0000 0.0000
0.0000 0.0000 0.5000
```